No. 1
VASP calculation (PBE-GGA) on a relaxed TaPb3 crystal.

## Properties
ΔE_f in eV/f.u.: 2.67
DOS(E_F) in states/eV/atom: 0.6763

Cell: 10.6555 10.6555 3.1878 Å, 90.00 90.00 120.00°
Space group R-3m (No. 166, hexagonal axes)
One atom of each set of equivalent atoms:
Ta 0.0000 0.0000 0.0000 (multiplicity 3)
Pb 0.0000 0.5000 0.0000 (multiplicity 9)



No. 2
VASP calculation (PBE-GGA) on a relaxed Zn2NiGe2 crystal.

## Properties
ΔE_f in eV/f.u.: 1.21
DOS(E_F) in states/eV/atom: 0.4689
Energy above the lowest structure with this stoichiometry in meV per atom: 149

Cell: 6.495 6.495 3.838 Å, 90.00 90.00 90.00°
Space group P4/mbm (No. 127)
One atom of each set of equivalent atoms:
Zn 0.142 0.358 0.000 (multiplicity 4)
Ni 0.000 0.000 0.000 (multiplicity 2)
Ge 0.168 0.668 0.500 (multiplicity 4)



No. 3
VASP calculation (PBE-GGA) on a relaxed RbBa2Ni crystal.

## Properties
ΔE_f in eV/f.u.: 1.24
DOS(E_F) in states/eV/atom: 0.7443
Energy above the lowest structure with this stoichiometry in meV per atom: 232

Cell: 9.176 9.176 12.972 Å, 90.00 90.00 90.00°
Space group I-42d (No. 122)
One atom of each set of equivalent atoms:
Rb 0.000 0.000 0.000 (multiplicity 4)
Ba 0.002 0.750 0.625 (multiplicity 8)
Ni 0.000 0.000 0.500 (multiplicity 4)



No. 4
VASP calculation (PBE-GGA) on a relaxed Ac2As2Pd3 crystal.

## Properties
ΔE_f in eV/f.u.: -6.29
DOS(E_F) in states/eV/atom: 0.5243

Cell: 10.853 4.546 6.722 Å, 90.00 104.70 90.00°
Space group C2/m (No. 12)
One atom of each set of equivalent atoms:
Ac 0.127 0.000 0.271 (multiplicity 4)
As 0.174 0.000 0.776 (multiplicity 4)
Pd 0.000 0.500 0.500 (multiplicity 2)
Pd 0.113 0.500 0.910 (multiplicity 4)



No. 5
VASP calculation (PBE-GGA) on a relaxed AcAl9Ni2 crystal.

## Properties
ΔE_f in eV/f.u.: -4.41
DOS(E_F) in states/eV/atom: 0.3421
Energy above the lowest structure with this stoichiometry in meV per atom: 14

Cell: 10.645 10.645 7.167 Å, 90.00 90.00 90.00°
Space group I4_1/amd (No. 141, origin choice 2)
One atom of each set of equivalent atoms:
Ac 0.000 0.250 0.375 (multiplicity 4)
Al 0.000 0.250 0.875 (multiplicity 4)
Al 0.124 0.050 0.692 (multiplicity 32)
Ni 0.000 0.000 0.000 (multiplicity 8)



No. 6
VASP calculation (PBE-GGA) on a relaxed BiSeClO3 crystal.

## Properties
DOS(E_F) in states/eV/atom: 0.0000
Energy above the lowest structure with this stoichiometry in meV per atom: 7
Uncorrected formation energy in meV/atom: -1009

Cell: 12.383 5.428 6.806 Å, 90.00 90.00 90.00°
Space group Pnma (No. 62)
One atom of each set of equivalent atoms:
Bi 0.048 0.250 0.204 (multiplicity 4)
Se 0.205 0.750 0.009 (multiplicity 4)
Cl 0.059 0.750 0.395 (multiplicity 4)
O 0.112 0.513 0.960 (multiplicity 8)
O 0.228 0.250 0.288 (multiplicity 4)



No. 7
VASP calculation (PBE-GGA) on a relaxed Na2IrPtS4 crystal.

## Properties
DOS(E_F) in states/eV/atom: 0.3954
Uncorrected formation energy in meV/atom: -611

Cell: 6.684 3.637 6.741 Å, 90.00 112.15 90.00°
Space group P2/m (No. 10)
One atom of each set of equivalent atoms:
Na 0.000 0.000 0.000 (multiplicity 1)
Na 0.500 0.500 0.000 (multiplicity 1)
Ir 0.000 0.500 0.500 (multiplicity 1)
Pt 0.500 0.000 0.500 (multiplicity 1)
S 0.204 0.000 0.709 (multiplicity 2)
S 0.262 0.500 0.333 (multiplicity 2)



No. 8
VASP calculation (PBE-GGA) on a relaxed Li2PbI4 crystal.

## Properties
DOS(E_F) in states/eV/atom: 0.0000
Energy above the lowest structure with this stoichiometry in meV per atom: 0
Uncorrected formation energy in meV/atom: -948

Cell: 4.743 7.872 7.915 Å, 102.26 107.40 90.02°
Space group P-1 (No. 2)
One atom of each set of equivalent atoms:
Li 0.179 0.084 0.356 (multiplicity 2)
Pb 0.500 0.500 0.000 (multiplicity 1)
I 0.126 0.398 0.252 (multiplicity 2)
I 0.367 0.105 0.735 (multiplicity 2)



No. 9
VASP calculation (PBE-GGA) on a relaxed Ce2SmSn3 crystal.

## Properties
ΔE_f in eV/f.u.: -2.95
DOS(E_F) in states/eV/atom: 1.2505
Energy above the lowest structure with this stoichiometry in meV per atom: 122

Cell: 4.472 6.342 13.482 Å, 90.00 90.00 90.00°
Space group Immm (No. 71)
One atom of each set of equivalent atoms:
Ce 0.000 0.000 0.165 (multiplicity 4)
Sm 0.000 0.000 0.500 (multiplicity 2)
Sn 0.000 0.500 0.170 (multiplicity 4)
Sn 0.000 0.500 0.500 (multiplicity 2)



No. 10
VASP calculation (PBE-GGA) on a relaxed KLi2ZnSn crystal.

## Properties
ΔE_f in eV/f.u.: -0.33
DOS(E_F) in states/eV/atom: 0.3237

Cell: 5.366 5.366 5.253 Å, 90.00 90.00 90.00°
Space group P4/mmm (No. 123)
One atom of each set of equivalent atoms:
K 0.000 0.000 0.000 (multiplicity 1)
Li 0.000 0.500 0.500 (multiplicity 2)
Zn 0.500 0.500 0.000 (multiplicity 1)
Sn 0.500 0.500 0.500 (multiplicity 1)



No. 11
VASP calculation (PBE-GGA) on a relaxed Re3AgSe crystal.

## Properties
DOS(E_F) in states/eV/atom: 0.8827
Energy above the lowest structure with this stoichiometry in meV per atom: 0
Uncorrected formation energy in meV/atom: 1772

Cell: 4.546 4.546 4.546 Å, 90.00 90.00 90.00°
Space group Pm-3m (No. 221)
One atom of each set of equivalent atoms:
Re 0.000 0.000 0.500 (multiplicity 3)
Ag 0.500 0.500 0.500 (multiplicity 1)
Se 0.000 0.000 0.000 (multiplicity 1)



No. 12
VASP calculation (PBE-GGA) on a relaxed LaTcH crystal.

## Properties
DOS(E_F) in states/eV/atom: 0.8447
Electronic total energy in eV per cell: -75.549

Cell: 16.996 3.547 3.547 Å, 90.00 90.00 90.00°
Space group Pnma (No. 62)
One atom of each set of equivalent atoms:
La 0.158 0.250 0.248 (multiplicity 4)
Tc 0.000 0.250 0.750 (multiplicity 4)
H 0.196 0.750 0.748 (multiplicity 4)



No. 13
VASP calculation (PBE-GGA) on a relaxed Be2ReRh3 crystal.

## Properties
ΔE_f in eV/f.u.: -2.72
DOS(E_F) in states/eV/atom: 0.9516

Cell: 2.776 2.776 9.362 Å, 90.00 90.00 90.00°
Space group P4/mmm (No. 123)
One atom of each set of equivalent atoms:
Be 0.000 0.000 0.144 (multiplicity 2)
Re 0.000 0.000 0.500 (multiplicity 1)
Rh 0.500 0.500 0.000 (multiplicity 1)
Rh 0.500 0.500 0.302 (multiplicity 2)



No. 14
VASP calculation (PBE-GGA) on a relaxed InOs2Au crystal.

## Properties
ΔE_f in eV/f.u.: 2.03
DOS(E_F) in states/eV/atom: 0.6983

Cell: 9.203 2.935 5.003 Å, 90.00 99.60 90.00°
Space group Cm (No. 8)
One atom of each set of equivalent atoms:
In 0.000 0.000 0.000 (multiplicity 2)
Os 0.011 0.500 0.523 (multiplicity 2)
Os 0.248 0.000 0.697 (multiplicity 2)
Au 0.255 0.500 0.227 (multiplicity 2)



No. 15
VASP calculation (PBE-GGA) on a relaxed Na3Zn3Cd8 crystal.

## Properties
ΔE_f in eV/f.u.: -0.65
DOS(E_F) in states/eV/atom: 0.3404

Cell: 4.882 10.103 13.133 Å, 90.00 90.00 90.00°
Space group Immm (No. 71)
One atom of each set of equivalent atoms:
Na 0.000 0.000 0.000 (multiplicity 2)
Na 0.000 0.000 0.278 (multiplicity 4)
Zn 0.000 0.130 0.500 (multiplicity 4)
Zn 0.000 0.500 0.000 (multiplicity 2)
Cd 0.000 0.299 0.141 (multiplicity 8)
Cd 0.000 0.356 0.369 (multiplicity 8)



No. 16
VASP calculation (PBE-GGA) on a relaxed NaCdInI4 crystal.

## Properties
DOS(E_F) in states/eV/atom: 0.0000
Uncorrected formation energy in meV/atom: -713

Cell: 7.902 8.396 9.212 Å, 90.00 106.21 90.00°
Space group P2_1/m (No. 11)
One atom of each set of equivalent atoms:
Na 0.231 0.250 0.065 (multiplicity 2)
Cd 0.244 0.750 0.818 (multiplicity 2)
In 0.211 0.250 0.550 (multiplicity 2)
I 0.005 0.505 0.236 (multiplicity 4)
I 0.453 0.750 0.618 (multiplicity 2)
I 0.473 0.750 0.112 (multiplicity 2)



No. 17
VASP calculation (PBE-GGA) on a relaxed Rb3Ca2UTe6 crystal.

## Properties
DOS(E_F) in states/eV/atom: 0.0367
Uncorrected formation energy in meV/atom: -1176

Cell: 7.978 13.814 8.905 Å, 90.00 107.35 90.00°
Space group C2/m (No. 12)
One atom of each set of equivalent atoms:
Rb 0.000 0.000 0.000 (multiplicity 2)
Rb 0.000 0.328 0.000 (multiplicity 4)
Ca 0.000 0.166 0.500 (multiplicity 4)
U 0.000 0.500 0.500 (multiplicity 2)
Te 0.224 0.343 0.699 (multiplicity 8)
Te 0.246 0.500 0.300 (multiplicity 4)



No. 18
VASP calculation (PBE-GGA) on a relaxed TaRe3 crystal.

## Properties
ΔE_f in eV/f.u.: 0.36
DOS(E_F) in states/eV/atom: 1.0811

Cell: 3.168 4.486 8.856 Å, 90.00 90.00 90.00°
Space group Cmmm (No. 65)
One atom of each set of equivalent atoms:
Ta 0.000 0.000 0.000 (multiplicity 2)
Re 0.000 0.000 0.500 (multiplicity 2)
Re 0.000 0.500 0.254 (multiplicity 4)



No. 19
VASP calculation (PBE-GGA) on a relaxed Ho4HgSe crystal.

## Properties
DOS(E_F) in states/eV/atom: 1.1419
Uncorrected formation energy in meV/atom: -610

Cell: 5.495 7.348 8.288 Å, 90.00 102.40 90.00°
Space group P2_1/m (No. 11)
One atom of each set of equivalent atoms:
Ho 0.071 0.250 0.047 (multiplicity 2)
Ho 0.193 0.750 0.378 (multiplicity 2)
Ho 0.335 0.506 0.738 (multiplicity 4)
Hg 0.232 0.250 0.423 (multiplicity 2)
Se 0.447 0.750 0.017 (multiplicity 2)



No. 20
VASP calculation (PBE-GGA) on a relaxed BaSi2Os crystal.

## Properties
DOS(E_F) in states/eV/atom: 0.7833
Uncorrected formation energy in meV/atom: 970

Cell: 6.850 6.850 6.850 Å, 90.00 90.00 90.00°
Space group F-43m (No. 216)
One atom of each set of equivalent atoms:
Ba 0.000 0.000 0.000 (multiplicity 4)
Si 0.000 0.000 0.500 (multiplicity 4)
Si 0.250 0.250 0.250 (multiplicity 4)
Os 0.250 0.250 0.750 (multiplicity 4)



No. 21
VASP calculation (PBE-GGA) on a relaxed ReHgPb crystal.

## Properties
ΔE_f in eV/f.u.: 2.76
DOS(E_F) in states/eV/atom: 1.0771
Energy above the lowest structure with this stoichiometry in meV per atom: 0

Cell: 3.0342 3.0342 8.5625 Å, 90.00 90.00 120.00°
Space group P3m1 (No. 156)
One atom of each set of equivalent atoms:
Re 0.0000 0.0000 0.0000 (multiplicity 1)
Hg 0.6667 0.3333 0.2848 (multiplicity 1)
Pb 0.3333 0.6667 0.7151 (multiplicity 1)



No. 22
VASP calculation (PBE-GGA) on a relaxed LiAgCl crystal.

## Properties
DOS(E_F) in states/eV/atom: 0.1131
Energy above the lowest structure with this stoichiometry in meV per atom: 0
Uncorrected formation energy in meV/atom: -974

Cell: 3.451 3.461 9.766 Å, 90.03 90.01 90.15°
Space group P1 (No. 1)
One atom of each set of equivalent atoms:
Li 0.000 0.000 0.000 (multiplicity 1)
Li 0.498 0.499 0.671 (multiplicity 1)
Ag 0.000 0.997 0.453 (multiplicity 1)
Ag 0.499 0.497 0.319 (multiplicity 1)
Cl 0.500 0.500 0.038 (multiplicity 1)
Cl 0.998 0.999 0.741 (multiplicity 1)



No. 23
VASP calculation (PBE-GGA) on a relaxed Tb2InHg6 crystal.

## Properties
ΔE_f in eV/f.u.: -2.47
DOS(E_F) in states/eV/atom: 0.5631
Energy above the lowest structure with this stoichiometry in meV per atom: 0

Cell: 8.897 5.136 9.605 Å, 90.00 90.06 90.00°
Space group C2/m (No. 12)
One atom of each set of equivalent atoms:
Tb 0.167 0.000 0.221 (multiplicity 4)
In 0.000 0.500 0.000 (multiplicity 2)
Hg 0.000 0.500 0.337 (multiplicity 4)
Hg 0.167 0.000 0.563 (multiplicity 4)
Hg 0.167 0.000 0.888 (multiplicity 4)



No. 24
VASP calculation (PBE-GGA) on a relaxed Cu2AsSe crystal.

## Properties
DOS(E_F) in states/eV/atom: 0.5142
Uncorrected formation energy in meV/atom: 285

Cell: 3.341 3.756 5.512 Å, 90.00 90.00 90.00°
Space group Pmmm (No. 47)
One atom of each set of equivalent atoms:
Cu 0.000 0.000 0.000 (multiplicity 1)
Cu 0.500 0.000 0.500 (multiplicity 1)
As 0.000 0.500 0.500 (multiplicity 1)
Se 0.500 0.500 0.000 (multiplicity 1)